Entry w
Compound: NaSi2F8
Source: Alexandria via LeMat-Bulk
Functional: PBE-GGA
Structure: optimized geometry

a b c (Å): 10.8203 5.5190 5.9265
angles (deg): 90.00 103.56 90.00
Space group C2/m (No. 12)
Inequivalent atoms, fractional coordinates:
Na1 0.0000 0.0000 0.0000 (multiplicity 2)
Si1 0.2013 0.0000 0.6605 (multiplicity 4)
F1 0.1187 0.0000 0.3897 (multiplicity 4)
F2 0.1436 0.2236 0.7813 (multiplicity 8)
F3 0.1468 0.5000 0.2289 (multiplicity 4)

Summary:
Theoretical density   2.2 g cm⁻³


Entry x
Compound: NaSi2F8
Source: Alexandria via LeMat-Bulk
Functional: PBE-GGA
Structure: optimized geometry

a b c (Å): 6.4876 6.4876 4.7986
angles (deg): 90.00 90.00 120.00
Space group P-3m1 (No. 164)
Inequivalent atoms, fractional coordinates:
Na1 0.0000 0.0000 0.0000 (multiplicity 1)
Si1 0.3333 0.6667 0.3332 (multiplicity 2)
F1 0.1966 0.3933 0.2249 (multiplicity 6)
F2 0.3333 0.6667 0.6688 (multiplicity 2)

Summary:
Theoretical density   2.2 g cm⁻³


Bottom line: entry x, by a margin of 27 meV/atom.


Entry w
Compound: Na2SnF2
Source: Alexandria via LeMat-Bulk
Functional: PBE-GGA
Structure: optimized geometry

a b c (Å): 7.3998 7.3998 3.1649
angles (deg): 90.00 90.00 90.00
Space group P4/mbm (No. 127)
Inequivalent atoms, fractional coordinates:
Na1 0.1288 0.3712 0.0000 (multiplicity 4)
Sn1 0.0000 0.0000 0.5000 (multiplicity 2)
F1 0.1344 0.6344 0.5000 (multiplicity 4)

Summary:
Theoretical density   3.9 g cm⁻³


Entry x
Compound: Na2SnF2
Source: Alexandria via LeMat-Bulk
Functional: PBE-GGA
Structure: optimized geometry

a b c (Å): 4.0818 4.0818 14.7808
angles (deg): 90.00 90.00 90.00
Space group I4/mmm (No. 139)
Inequivalent atoms, fractional coordinates:
Na1 0.0000 0.5000 0.2500 (multiplicity 4)
Sn1 0.0000 0.0000 0.0000 (multiplicity 2)
F1 0.0000 0.0000 0.2990 (multiplicity 4)

Summary:
Theoretical density   2.7 g cm⁻³


Bottom line: entry x, by a margin of 5 meV/atom.


Entry w
Compound: NaSn3F
Source: Alexandria via LeMat-Bulk
Functional: PBE-GGA
Structure: optimized geometry

a b c (Å): 5.4245 5.4245 5.4245
angles (deg): 90.00 90.00 90.00
Space group Pm-3m (No. 221)
Inequivalent atoms, fractional coordinates:
Na1 0.0000 0.0000 0.0000 (multiplicity 1)
Sn1 0.0000 0.0000 0.5000 (multiplicity 3)
F1 0.5000 0.5000 0.5000 (multiplicity 1)

Summary:
Theoretical density   4.1 g cm⁻³


Entry x
Compound: NaSn3F
Source: Alexandria via LeMat-Bulk
Functional: PBE-GGA
Structure: optimized geometry

a b c (Å): 5.0512 5.0512 5.0512
angles (deg): 90.00 90.00 90.00
Space group Pm-3m (No. 221)
Inequivalent atoms, fractional coordinates:
Na1 0.0000 0.0000 0.0000 (multiplicity 1)
Sn1 0.0000 0.5000 0.5000 (multiplicity 3)
F1 0.5000 0.5000 0.5000 (multiplicity 1)

Summary:
Theoretical density   5.1 g cm⁻³


Bottom line: entry x, by a margin of 828 meV/atom.


Entry w
Compound: NaSnF3
Source: Alexandria via LeMat-Bulk
Functional: PBE-GGA
Structure: optimized geometry

a b c (Å): 8.1191 5.9660 8.5456
angles (deg): 90.00 119.70 90.00
Space group P2_1/c (No. 14)
Inequivalent atoms, fractional coordinates:
Na1 0.1016 0.2438 0.4910 (multiplicity 4)
Sn1 0.3044 0.7271 0.4094 (multiplicity 4)
F1 0.0201 0.6068 0.3346 (multiplicity 4)
F2 0.2098 0.5890 0.1443 (multiplicity 4)
F3 0.3746 0.0863 0.0455 (multiplicity 4)

Summary:
Theoretical density   3.7 g cm⁻³


Entry x
Compound: NaSnF3
Source: Alexandria via LeMat-Bulk
Functional: PBE-GGA
Structure: optimized geometry

a b c (Å): 6.0219 6.0298 6.0349
angles (deg): 62.96 62.96 62.92
Space group P-1 (No. 2)
Inequivalent atoms, fractional coordinates:
Na1 0.1337 0.1341 0.1339 (multiplicity 2)
Sn1 0.3649 0.3647 0.3643 (multiplicity 2)
F1 0.0305 0.5398 0.2161 (multiplicity 2)
F2 0.2159 0.0313 0.5397 (multiplicity 2)
F3 0.4595 0.7846 0.9686 (multiplicity 2)

Summary:
Theoretical density   4.0 g cm⁻³


Entry y
Compound: NaSnF3
Source: Alexandria via LeMat-Bulk
Functional: PBE-GGA
Structure: optimized geometry

a b c (Å): 4.1587 4.1587 4.1587
angles (deg): 90.00 90.00 90.00
Space group Pm-3m (No. 221)
Inequivalent atoms, fractional coordinates:
Na1 0.0000 0.0000 0.0000 (multiplicity 1)
Sn1 0.5000 0.5000 0.5000 (multiplicity 1)
F1 0.0000 0.0000 0.5000 (multiplicity 3)

Summary:
Theoretical density   4.6 g cm⁻³


Entry z
Compound: NaSnF3
Source: Alexandria via LeMat-Bulk
Functional: PBE-GGA
Structure: optimized geometry

a b c (Å): 4.6800 4.6800 4.6800
angles (deg): 90.00 90.00 90.00
Space group Pm-3m (No. 221)
Inequivalent atoms, fractional coordinates:
Na1 0.0000 0.0000 0.0000 (multiplicity 1)
Sn1 0.5000 0.5000 0.5000 (multiplicity 1)
F1 0.0000 0.5000 0.5000 (multiplicity 3)

Summary:
Theoretical density   3.2 g cm⁻³


Bottom line: entry w, by a margin of 7 meV/atom.


Entry w
Compound: Na3SnF
Source: Alexandria via LeMat-Bulk
Functional: PBE-GGA
Structure: optimized geometry

a b c (Å): 5.9588 5.9588 5.9588
angles (deg): 90.00 90.00 90.00
Space group Pm-3m (No. 221)
Inequivalent atoms, fractional coordinates:
Na1 0.0000 0.0000 0.5000 (multiplicity 3)
Sn1 0.0000 0.0000 0.0000 (multiplicity 1)
F1 0.5000 0.5000 0.5000 (multiplicity 1)

Summary:
Theoretical density   1.6 g cm⁻³


Entry x
Compound: Na3SnF
Source: Alexandria via LeMat-Bulk
Functional: PBE-GGA
Structure: optimized geometry

a b c (Å): 4.7978 4.7978 4.7978
angles (deg): 90.00 90.00 90.00
Space group Pm-3m (No. 221)
Inequivalent atoms, fractional coordinates:
Na1 0.0000 0.0000 0.5000 (multiplicity 3)
Sn1 0.5000 0.5000 0.5000 (multiplicity 1)
F1 0.0000 0.0000 0.0000 (multiplicity 1)

Summary:
Theoretical density   3.1 g cm⁻³


Bottom line: entry x, by a margin of 796 meV/atom.


Entry w
Compound: NaSn2F8
Source: Alexandria via LeMat-Bulk
Functional: PBE-GGA
Structure: optimized geometry

a b c (Å): 7.1137 7.1137 4.2721
angles (deg): 90.00 90.00 120.00
Space group P-3 (No. 147)
Inequivalent atoms, fractional coordinates:
Na1 0.0000 0.0000 0.0000 (multiplicity 1)
Sn1 0.3333 0.6667 0.2475 (multiplicity 2)
F1 0.1721 0.8257 0.2472 (multiplicity 6)
F2 0.3333 0.6667 0.7466 (multiplicity 2)

Summary:
Theoretical density   3.7 g cm⁻³


Entry x
Compound: NaSn2F8
Source: Alexandria via LeMat-Bulk
Functional: PBE-GGA
Structure: optimized geometry

a b c (Å): 9.0134 6.8257 5.5165
angles (deg): 90.00 100.81 90.00
Space group C2/m (No. 12)
Inequivalent atoms, fractional coordinates:
Na1 0.0000 0.0000 0.0000 (multiplicity 2)
Sn1 0.1875 0.5000 0.4432 (multiplicity 4)
F1 0.0542 0.5000 0.7259 (multiplicity 4)
F2 0.1432 0.1916 0.3425 (multiplicity 8)
F3 0.2033 0.0000 0.8372 (multiplicity 4)

Summary:
Theoretical density   4.1 g cm⁻³


Bottom line: entry x, by a margin of 86 meV/atom.


Entry w
Compound: NaSnF4
Source: Alexandria via LeMat-Bulk
Functional: PBE-GGA
Structure: optimized geometry

a b c (Å): 7.6863 10.9959 5.5148
angles (deg): 90.00 134.00 90.00
Space group C2/c (No. 15)
Inequivalent atoms, fractional coordinates:
Na1 0.0000 0.1405 0.2500 (multiplicity 4)
Sn1 0.0000 0.3794 0.7500 (multiplicity 4)
F1 0.2161 0.4755 0.6696 (multiplicity 8)
F2 0.2418 0.2706 0.2169 (multiplicity 8)

Summary:
Theoretical density   4.3 g cm⁻³


Entry x
Compound: NaSnF4
Source: Alexandria via LeMat-Bulk
Functional: PBE-GGA
Structure: optimized geometry

a b c (Å): 6.2554 6.2554 5.4662
angles (deg): 90.00 90.00 90.00
Space group I-4 (No. 82)
Inequivalent atoms, fractional coordinates:
Na1 0.0000 0.0000 0.0000 (multiplicity 2)
Sn1 0.0000 0.5000 0.2500 (multiplicity 2)
F1 0.1889 0.6989 0.0405 (multiplicity 8)

Summary:
Theoretical density   3.4 g cm⁻³


Bottom line: entry w, by a margin of 178 meV/atom.


Entry w
Compound: Na2TlSnF
Source: Alexandria via LeMat-Bulk
Functional: PBE-GGA
Structure: optimized geometry

a b c (Å): 4.5277 4.5277 5.7494
angles (deg): 90.00 90.00 90.00
Space group P4/mmm (No. 123)
Inequivalent atoms, fractional coordinates:
Na1 0.0000 0.5000 0.0000 (multiplicity 2)
Tl1 0.0000 0.0000 0.5000 (multiplicity 1)
Sn1 0.5000 0.5000 0.5000 (multiplicity 1)
F1 0.0000 0.0000 0.0000 (multiplicity 1)

Summary:
Theoretical density   5.5 g cm⁻³


Entry x
Compound: Na2TlSnF
Source: Alexandria via LeMat-Bulk
Functional: PBE-GGA
Structure: optimized geometry

a b c (Å): 6.1471 6.1471 4.6148
angles (deg): 90.00 90.00 90.00
Space group P4/mmm (No. 123)
Inequivalent atoms, fractional coordinates:
Na1 0.0000 0.5000 0.0000 (multiplicity 2)
Tl1 0.0000 0.0000 0.0000 (multiplicity 1)
Sn1 0.5000 0.5000 0.5000 (multiplicity 1)
F1 0.0000 0.0000 0.5000 (multiplicity 1)

Summary:
Theoretical density   3.7 g cm⁻³


Bottom line: entry w, by a margin of 702 meV/atom.